Density functional theory data (GGA-PBE) for an optimized crystal structure of YSc2Ir.

- calculated formation energy (kJ per mole of atoms) = -39.1
- energy (eV/cell) = -29.61
- energy relative to the lowest polymorph listed for this composition (eV per atom) = 0.183
- SG = Pmm2 (25)

Structure (CIF):
```
data_YSc2Ir
_cell_length_a 3.429
_cell_length_b 3.336
_cell_length_c 8.058
_cell_angle_alpha 90.00
_cell_angle_beta 90.00
_cell_angle_gamma 90.00
_symmetry_space_group_name_H-M 'P 1'
_symmetry_Int_Tables_number 1
loop_
_symmetry_equiv_pos_as_xyz
'x,y,z'
loop_
_atom_site_label
_atom_site_type_symbol
_atom_site_fract_x
_atom_site_fract_y
_atom_site_fract_z
Ir1 Ir 0.500 0.500 0.772
Sc1 Sc 0.000 0.000 0.947
Sc2 Sc 0.500 0.500 0.229
Y1 Y 0.000 0.000 0.551
```



Density functional theory data (GGA-PBE) for an optimized crystal structure of Y2ScIr.

- calculated formation energy (kJ per mole of atoms) = -16.4
- energy (eV/cell) = -57.60
- energy relative to the lowest polymorph listed for this composition (eV per atom) = 0.324
- SG = I-42d (122)

Structure (CIF):
```
data_Y2ScIr
_cell_length_a 8.557
_cell_length_b 8.557
_cell_length_c 6.731
_cell_angle_alpha 50.53
_cell_angle_beta 50.53
_cell_angle_gamma 90.00
_symmetry_space_group_name_H-M 'P 1'
_symmetry_Int_Tables_number 1
loop_
_symmetry_equiv_pos_as_xyz
'x,y,z'
loop_
_atom_site_label
_atom_site_type_symbol
_atom_site_fract_x
_atom_site_fract_y
_atom_site_fract_z
Y1 Y 0.701 0.125 0.250
Y2 Y 0.049 0.625 0.250
Y3 Y 0.375 0.299 0.750
Y4 Y 0.875 0.951 0.750
Sc1 Sc 0.500 0.500 0.000
Sc2 Sc 0.250 0.750 0.500
Ir1 Ir 0.000 0.000 0.000
Ir2 Ir 0.750 0.250 0.500
```